A plane-wave DFT calculation with SCAN was carried out for V3Rh at its PBEsol-relaxed geometry.

Values from the calculation:
Size of the total moment in μB per atom: 0.000

abc: 4.715 4.715 4.715
angles: 90.00 90.00 90.00
Fractional coordinates of all 8 atoms:
V 0.500 0.250 0.000
V 0.500 0.750 0.000
V 0.250 0.000 0.500
V 0.750 0.000 0.500
V 0.000 0.500 0.250
V 0.000 0.500 0.750
Rh 0.500 0.500 0.500
Rh 0.000 0.000 0.000

A plane-wave DFT calculation with SCAN was carried out for Rh5W at its PBEsol-relaxed geometry.

Values from the calculation:
Size of the total moment in μB per atom: 0.000

abc: 2.720 4.324 7.159
angles: 90.00 100.95 90.00
Fractional coordinates of all 6 atoms:
Rh 0.001 0.000 0.002
Rh 0.666 0.000 0.332
Rh 0.333 0.000 0.666
Rh 0.553 0.500 0.106
Rh 0.223 0.500 0.446
W 0.891 0.500 0.781

A plane-wave DFT calculation with SCAN was carried out for Rh8W at its PBEsol-relaxed geometry.

Values from the calculation:
Size of the total moment in μB per atom: 0.000

abc: 3.797 5.999 5.999
angles: 84.25 71.55 71.55
Fractional coordinates of all 9 atoms:
Rh 0.000 0.668 0.332
Rh 0.000 0.332 0.668
Rh 0.332 0.668 0.668
Rh 0.337 0.327 0.000
Rh 0.337 0.000 0.327
Rh 0.668 0.332 0.332
Rh 0.663 0.000 0.673
Rh 0.663 0.673 0.000
W 0.000 0.000 0.000

A plane-wave DFT calculation with SCAN was carried out for Rh5W at its PBEsol-relaxed geometry.

Values from the calculation:
Size of the total moment in μB per atom: 0.000

abc: 4.316 4.695 4.695
angles: 120.00 90.00 90.00
Fractional coordinates of all 6 atoms:
Rh 0.000 0.336 0.336
Rh 0.000 0.664 0.000
Rh 0.000 0.000 0.664
Rh 0.500 0.333 0.667
Rh 0.500 0.667 0.333
W 0.500 0.000 0.000

A plane-wave DFT calculation with SCAN was carried out for RhW3 at its PBEsol-relaxed geometry.

Values from the calculation:
Size of the total moment in μB per atom: 0.000

abc: 2.700 4.834 4.920
angles: 98.63 90.00 106.21
Fractional coordinates of all 4 atoms:
Rh 0.000 0.000 0.000
W 0.740 0.479 0.243
W 0.500 0.000 0.500
W 0.260 0.521 0.757

A plane-wave DFT calculation with SCAN was carried out for RhW2 at its PBEsol-relaxed geometry.

Values from the calculation:
Size of the total moment in μB per atom: 0.000

abc: 2.711 2.711 6.382
angles: 102.26 102.26 90.00
Fractional coordinates of all 3 atoms:
Rh 0.000 0.000 0.000
W 0.341 0.341 0.681
W 0.659 0.659 0.319

A plane-wave DFT calculation with SCAN was carried out for RhW at its PBEsol-relaxed geometry.

Values from the calculation:
Size of the total moment in μB per atom: 0.000

abc: 2.729 5.254 6.493
angles: 103.92 90.00 105.06
Fractional coordinates of all 6 atoms:
Rh 0.006 0.012 0.003
Rh 0.388 0.777 0.276
Rh 0.329 0.658 0.664
W 0.666 0.332 0.330
W 0.046 0.091 0.616
W 0.731 0.463 0.945

A plane-wave DFT calculation with SCAN was carried out for RhW at its PBEsol-relaxed geometry.

Values from the calculation:
Size of the total moment in μB per atom: 0.000

abc: 3.880 3.880 5.222
angles: 90.00 90.00 120.00
Fractional coordinates of all 4 atoms:
Rh 0.667 0.333 0.750
Rh 0.333 0.667 0.250
W 0.000 0.000 0.000
W 0.000 0.000 0.500

Number 1: total energy -176.0 eV for the cell shown, energy of formation -0.437 eV/atom. Number 2: total energy -239.4 eV for the cell shown, energy of formation -0.143 eV/atom. Number 3: total energy -341.2 eV for the cell shown, energy of formation -0.153 eV/atom. Number 4: total energy -239.7 eV for the cell shown, energy of formation -0.185 eV/atom. Number 5: total energy -242.2 eV for the cell shown, energy of formation 0.166 eV/atom. Number 6: total energy -173.3 eV for the cell shown, energy of formation -0.036 eV/atom. Number 7: total energy -311.0 eV for the cell shown, energy of formation -0.097 eV/atom. Number 8: total energy -204.1 eV for the cell shown, energy of formation 0.695 eV/atom.